# KPrY (PBE-GGA, optimized geometry)
# calculated volume	598	Å³/cell
# energy above the most stable polymorph in this dataset	0	meV/atom
data_KPrY
_symmetry_space_group_name_H-M 'F -4 3 m'
_symmetry_Int_Tables_number 216
_symmetry_space_group_name_Hall 'F -4 2 3'
_cell_length_a 8.4246
_cell_length_b 8.4246
_cell_length_c 8.4246
_cell_angle_alpha 90.00
_cell_angle_beta 90.00
_cell_angle_gamma 90.00
loop_
_atom_site_label
_atom_site_fract_x
_atom_site_fract_y
_atom_site_fract_z
_atom_site_occupancy
K1 0.0000 0.0000 0.0000 1
Pr1 0.0000 0.0000 0.5000 1
Y1 0.2500 0.2500 0.2500 1

***

# KPrZn (PBE-GGA, optimized geometry)
# calculated volume	432	Å³/cell
# energy above the most stable polymorph in this dataset	0	meV/atom
data_KPrZn
_symmetry_space_group_name_H-M 'F -4 3 m'
_symmetry_Int_Tables_number 216
_symmetry_space_group_name_Hall 'F -4 2 3'
_cell_length_a 7.5567
_cell_length_b 7.5567
_cell_length_c 7.5567
_cell_angle_alpha 90.00
_cell_angle_beta 90.00
_cell_angle_gamma 90.00
loop_
_atom_site_label
_atom_site_fract_x
_atom_site_fract_y
_atom_site_fract_z
_atom_site_occupancy
K1 0.0000 0.0000 0.0000 1
Pr1 0.0000 0.0000 0.5000 1
Zn1 0.2500 0.2500 0.2500 1

***

# KPrZr (PBE-GGA, optimized geometry)
# total energy	-38.36	eV for the cell shown
# calculated volume	442	Å³/cell
data_KPrZr
_symmetry_space_group_name_H-M 'F -4 3 m'
_symmetry_Int_Tables_number 216
_symmetry_space_group_name_Hall 'F -4 2 3'
_cell_length_a 7.6162
_cell_length_b 7.6162
_cell_length_c 7.6162
_cell_angle_alpha 90.00
_cell_angle_beta 90.00
_cell_angle_gamma 90.00
loop_
_atom_site_label
_atom_site_fract_x
_atom_site_fract_y
_atom_site_fract_z
_atom_site_occupancy
K1 0.0000 0.0000 0.0000 1
Pr1 0.2500 0.2500 0.2500 1
Zr1 0.2500 0.2500 0.7500 1

***

What are the magnetic moment values for these records? In order: 6.225; 0.252; 7.254 μB/cell.